Below is a relaxed La6Ge2RuBr3 crystal, with properties calculated at the PBE level.

D(E_F) (states/eV per cell): 15.52
E_form (uncorrected) (eV/atom): -1.1173

```
data_La6Ge2RuBr3
_chemical_formula_sum 'La12 Ge4 Ru2 Br6'
_symmetry_space_group_name_H-M 'C 1 2/m 1'
_symmetry_Int_Tables_number 12
_symmetry_space_group_name_Hall '-C 2y'
_cell_length_a 19.4122
_cell_length_b 4.3146
_cell_length_c 9.1825
_cell_angle_alpha 90.00
_cell_angle_beta 105.61
_cell_angle_gamma 90.00
loop_
_atom_site_label
_atom_site_fract_x
_atom_site_fract_y
_atom_site_fract_z
La1 0.0037 0.0000 0.2185
La2 0.1466 0.5000 0.0991
La3 0.1745 0.5000 0.5691
Ge1 0.1639 0.0000 0.3384
Ru1 0.0000 0.5000 0.0000
Br1 0.0000 0.5000 0.5000
Br2 0.1734 0.0000 0.8377
```